28
Lattice="-6.749 -0.523 3.486 -6.064 -3.704 -3.980 -1.549 -6.738 4.305" Properties=species:S:1:pos:R:3 comment="In2MoF11 (PBE+U, optimized geometry)" dft_energy_ev_per_atom=-4.70 volume_a3_per_atom=14.1 dos_ef_per_ev_cell=0.0 sg=Ibam pbc="T T T"
In -8.922 -5.006 0.888
In -5.440 -5.959 2.924
In -8.188 -6.641 5.817
In -6.175 -4.324 -2.006
Mo -10.772 -8.224 2.859
Mo -3.591 -2.741 0.953
F -9.546 -6.881 1.913
F -4.816 -4.084 1.899
F -5.068 -6.973 0.978
F -12.584 -9.172 2.729
F -9.294 -3.992 2.833
F -1.778 -1.793 1.082
F -9.140 -9.345 2.329
F -5.222 -1.620 1.483
F -7.181 -5.482 1.906
F 0.000 0.000 0.000
F -10.936 -4.818 0.846
F -3.426 -6.147 2.966
F -7.094 -6.212 4.170
F -7.268 -4.753 -0.359
F -9.450 -6.008 -1.057
F -4.912 -4.957 4.869
F -5.174 -7.964 3.911
F -2.332 -4.162 1.668
F -9.188 -3.001 -0.099
F -12.030 -6.803 2.143
F -5.019 -3.273 -0.385
F -9.343 -7.692 4.196